This record from the Alexandria database describes crystalline Ce4CdPd at its relaxed geometry. The functional is GGA-PBE.

Calculated values
- Total magnetic moment: 4.658 μB/f.u.
- Space-group type: F-43m
- Formation enthalpy at 0 K: -0.207 eV/atom

abc: 9.801 9.801 9.801
angles: 60.00 60.00 60.00
Each line ends with the local moment (μB).
Element x y z (fractional)
Ce  0.199  0.199  0.801  0.83
Ce  0.067  0.067  0.433  1.04
Ce  0.801  0.801  0.199  0.83
Ce  0.646  0.646  0.062  0.80
Ce  0.062  0.646  0.646  0.80
Ce  0.067  0.433  0.433  1.04
Ce  0.801  0.199  0.801  0.83
Ce  0.199  0.801  0.801  0.83
Ce  0.801  0.199  0.199  0.83
Ce  0.433  0.067  0.433  1.04
Ce  0.433  0.067  0.067  1.04
Ce  0.646  0.646  0.646  0.80
Ce  0.646  0.062  0.646  0.80
Ce  0.067  0.433  0.067  1.04
Ce  0.433  0.433  0.067  1.04
Ce  0.199  0.801  0.199  0.83
Cd  0.421  0.421  0.421  0.01
Cd  0.738  0.421  0.421  0.01
Cd  0.421  0.738  0.421  0.01
Cd  0.421  0.421  0.738  0.01
Pd  0.857  0.857  0.857  -0.01
Pd  0.857  0.857  0.430  -0.01
Pd  0.857  0.430  0.857  -0.01
Pd  0.430  0.857  0.857  -0.01